# Cs2NpWO6

A relaxed Cs2NpWO6 crystal (PBE+U, Alexandria).

a = 5.862 Å, b = 5.862 Å, c = 11.841 Å
α = 90.00°, β = 90.00°, γ = 90.00°
Space group I4/mmm (No. 139)
Symmetry-distinct sites (fractional):
1 Cs 0.000 0.500 0.250 [4 per cell]
2 Np 0.000 0.000 0.000 [2 per cell]
3 W 0.000 0.000 0.500 [2 per cell]
4 O 0.000 0.000 0.158 [4 per cell]
5 O 0.232 0.232 0.500 [8 per cell]

The value obtained for the calculated total energy is -147.80 eV for the cell shown.